# 1
First-principles (PBE) data for LaPS2Br after structural relaxation, as listed in the Alexandria database.

Calculated values
total magnetic moment: 2.7 μB/f.u.
total energy: -3.8115 eV per atom
calculated volume: 36.7 A^3/atom
uncorrected formation energy: 0.2415 eV/atom

Cell: 5.432 5.432 6.218 Å, 90.00 90.00 90.00°
Fractional coordinates of all 5 atoms:
La (0.000, 0.000, 0.000)
P (0.000, 0.000, 0.500)
S (0.000, 0.500, 0.000)
S (0.500, 0.000, 0.000)
Br (0.500, 0.500, 0.500)

# 2
First-principles (PBE) data for PrYErTm after structural relaxation, as listed in the Alexandria database.

Calculated values
total magnetic moment: 0.0 μB/f.u.
total energy: -4.9571 eV per atom
calculated volume: 32.6 A^3/atom
energy relative to the elements: 0.1124 eV/atom

Cell: 5.694 5.694 5.694 Å, 60.00 60.00 60.00°
Fractional coordinates of all 4 atoms:
Pr (0.000, 0.000, 0.000)
Y (0.500, 0.500, 0.500)
Er (0.250, 0.250, 0.250)
Tm (0.750, 0.750, 0.750)

# 3
First-principles (PBE) data for Rb3Cd7Sn4 after structural relaxation, as listed in the Alexandria database.

Calculated values
total magnetic moment: 0.0 μB/f.u.
total energy: -1.8863 eV per atom
calculated volume: 30.0 A^3/atom
energy relative to the elements: -0.0777 eV/atom

Cell: 9.585 9.585 11.132 Å, 125.31 125.31 30.94°
Fractional coordinates of all 14 atoms:
Rb (0.000, 0.000, 0.000)
Rb (0.299, 0.299, 0.298)
Rb (0.701, 0.701, 0.702)
Cd (0.000, 0.000, 0.500)
Cd (0.144, 0.144, 0.874)
Cd (0.335, 0.335, 0.693)
Cd (0.498, 0.498, 0.301)
Cd (0.502, 0.502, 0.699)
Cd (0.665, 0.665, 0.307)
Cd (0.856, 0.856, 0.126)
Sn (0.131, 0.131, 0.420)
Sn (0.338, 0.338, 0.972)
Sn (0.662, 0.662, 0.028)
Sn (0.869, 0.869, 0.580)